Material: Sc2Si2Hg
Method: DFT, PBE
State: optimized geometry

a = 6.868 Å, b = 6.868 Å, c = 3.931 Å
α = 90.00°, β = 90.00°, γ = 90.00°
Positions (direct):
Sc  0.176  0.324  0.000
Sc  0.324  0.824  0.000
Sc  0.676  0.176  0.000
Sc  0.824  0.676  0.000
Si  0.120  0.620  0.500
Si  0.380  0.120  0.500
Si  0.620  0.880  0.500
Si  0.880  0.380  0.500
Hg  0.000  0.000  0.500
Hg  0.500  0.500  0.500

The energy comes out at -5.340 eV per atom. The energy above the most stable polymorph in this dataset comes out at 0.00 kJ per mole of atoms. The size of the total moment is 0.000 μB/atom. As for the space-group type: No. 127.